14
Lattice="-6.6713 -1.3706 -0.2768 1.3562 -6.7122 0.5505 2.0846 1.2078 9.5909" Properties=species:S:1:pos:R:3 comment="Ba2Cd4In PBE optimized geometry" magnetic_moment_mub_per_cell=0.00 e_tot_ev_per_atom=-1.783 sg="P2_1/m, No. 11" pbc="T T T"
Ba -1.8267 -4.8518 9.6427
Ba -1.4038 -2.0233 0.2218
Ba -4.2630 -2.1604 5.5935
Ba 1.0325 -4.7146 4.2711
Cd -0.6874 -2.8798 6.7790
Cd -1.2811 0.0586 6.5380
Cd -1.9494 -6.9336 3.3265
Cd -2.5431 -3.9952 3.0855
Cd -2.6118 -1.5747 8.6676
Cd -0.8803 -1.6133 3.9317
Cd -2.3501 -5.2618 5.9328
Cd -0.6186 -5.3004 1.1969
In -5.0314 -2.6103 2.0006
In 1.8009 -4.2647 7.8640